FeSbPb2 | PBE | optimized geometry

## Properties
uncorrected energy: -4.467 eV per atom

```
FeSbPb2
1.0
-4.468 1.241 -3.810
-5.429 0.670 2.469
5.501 2.163 1.039
Fe Pb Sb
1 2 1
Cartesian
-1.958 2.180 -1.721
0.000 0.000 0.000
-4.949 0.956 -0.670
-2.438 1.894 1.419
```


FeSbPb2 | PBE | optimized geometry

## Properties
uncorrected energy: -4.463 eV per atom

```
FeSbPb2
1.0
-3.213 -3.966 -2.639
4.655 -2.521 2.235
-1.650 -0.543 2.824
Fe Pb Sb
1 2 1
Cartesian
1.503 -1.532 2.529
0.000 0.000 0.000
0.721 -3.243 -0.202
-2.431 -2.255 0.092
```


| no. | uncorrected formation energy (eV/atom) |
| --- | --- |
| 1 | 0.53 |
| 2 | 0.54 |